Here is a geometry-optimized Tb4Sm15Dy structure from Alexandria via LeMat-Bulk. Energies are from PBE-GGA.

## Properties
For the total energy, the calculation gives -4.680 eV/atom. As for the space group: No. 123. As for the total magnetization: 0.00 Bohr magnetons per cell. The formation energy is 1 kJ/mol of atoms. The calculation puts the density of states at the Fermi level at 27.6 states/eV/f.u.

Lattice parameters (Å, degrees): 5.108 5.108 25.501 90.00 90.00 90.00
Element x y z (fractional)
1 Sm 0.000 0.500 0.900
2 Sm 0.500 0.000 0.500
3 Sm 0.500 0.000 0.300
4 Sm 0.500 0.500 0.400
5 Sm 0.500 0.500 0.000
6 Sm 0.500 0.000 0.700
7 Sm 0.500 0.000 0.100
8 Sm 0.500 0.500 0.600
9 Sm 0.500 0.500 0.200
10 Sm 0.000 0.500 0.300
11 Sm 0.000 0.500 0.500
12 Sm 0.500 0.500 0.800
13 Sm 0.000 0.500 0.700
14 Sm 0.000 0.500 0.100
15 Sm 0.500 0.000 0.900
16 Tb 0.000 0.000 0.200
17 Tb 0.000 0.000 0.400
18 Tb 0.000 0.000 0.600
19 Tb 0.000 0.000 0.800
20 Dy 0.000 0.000 0.000